The following is a PBE calculation of a relaxed SrHoIr2O8 crystal, from the Alexandria database.

Structure (POSCAR):
```
SrHoIr2O8
1.0
5.9149 0.0000 0.0000
-2.9574 5.1224 0.0000
0.0000 0.0000 7.2175
Sr Ho Ir O
1 1 2 8
direct
0.0000 0.0000 0.0000
0.0000 0.0000 0.5000
0.3333 0.6667 0.7848
0.6667 0.3333 0.2152
0.1583 0.3188 0.7105
0.1605 0.8417 0.7105
0.3188 0.1605 0.2895
0.3333 0.6667 0.0367
0.6667 0.3333 0.9633
0.6812 0.8395 0.7105
0.8395 0.1583 0.2895
0.8417 0.6812 0.2895
```

Calculated values
DOS(E_F): 11.17 states/eV/f.u.
raw formation energy: -1.35 eV per atom
raw total energy: -6.658 eV/atom
crystal system: trigonal
symmetry: P-3, No. 147